Material: Pm2PaAg
Method: DFT, PBE
State: relaxed

The structure in POSCAR format:
```
Pm2PaAg
1.0
3.274 0.000 0.000
1.637 2.835 0.000
1.637 0.945 11.719
Ag Pa Pm
1 1 2
direct
0.500 0.500 0.500
0.000 0.000 0.000
0.908 0.908 0.277
0.092 0.092 0.723
```

Properties
E = -5.172 eV per atom
E_form = 0.2904 eV per atom
DOS(E_F) = 5.111 states/eV/f.u.
Distance to the lowest polymorph of the same formula = 285 meV per atom

Material: CaMn2C
Method: DFT, PBE
State: relaxed

The structure in POSCAR format:
```
CaMn2C
1.0
5.912 0.000 0.000
0.000 5.912 0.000
2.956 2.956 4.185
Mn Ca C
4 2 2
direct
0.375 0.125 0.250
0.875 0.625 0.750
0.375 0.625 0.750
0.375 0.625 0.250
0.750 0.250 0.500
0.000 0.000 0.000
0.250 0.750 0.500
0.500 0.500 0.000
```

Properties
E = -7.026 eV per atom
E_form = 0.3651 eV per atom
DOS(E_F) = 7.315 states/eV/f.u.

Material: Tb2PrF11
Method: DFT, PBE
State: relaxed

The structure in POSCAR format:
```
Tb2PrF11
1.0
-3.930 -2.252 7.163
-5.487 -6.972 -0.189
3.529 -6.498 4.907
F Tb Pr
22 4 2
direct
0.000 0.000 0.000
0.966 0.813 0.466
0.080 0.553 0.709
0.580 0.209 0.053
0.245 0.534 0.187
0.920 0.447 0.291
0.466 0.966 0.313
0.342 0.291 0.447
0.158 0.053 0.209
0.534 0.034 0.687
0.500 0.500 0.500
0.420 0.791 0.947
0.610 0.305 0.695
0.658 0.709 0.553
0.110 0.195 0.805
0.745 0.687 0.034
0.842 0.947 0.791
0.034 0.187 0.534
0.255 0.313 0.966
0.390 0.695 0.305
0.890 0.805 0.195
0.755 0.466 0.813
0.657 0.689 0.311
0.157 0.811 0.189
0.843 0.189 0.811
0.343 0.311 0.689
0.250 0.250 0.250
0.750 0.750 0.750
```

Properties
E = -5.907 eV per atom
Formation energy from raw total energies = -4639 kJ/mol of formula units
DOS(E_F) = 13.273 states/eV/f.u.

Material: Dy2ZrB2Rh5
Method: DFT, PBE
State: relaxed

The structure in POSCAR format:
```
Dy2ZrB2Rh5
1.0
-3.045 -1.019 0.606
1.250 -7.381 -6.132
3.282 -5.482 7.268
Rh Zr Dy B
10 2 4 4
direct
0.500 0.000 0.500
0.500 0.071 0.775
0.500 0.225 0.071
0.500 0.725 0.429
0.500 0.429 0.275
0.500 0.275 0.571
0.500 0.929 0.225
0.500 0.571 0.725
0.500 0.500 0.000
0.500 0.775 0.929
0.000 0.000 0.000
0.000 0.500 0.500
0.000 0.675 0.175
0.000 0.825 0.675
0.000 0.325 0.825
0.000 0.175 0.325
0.000 0.120 0.620
0.000 0.620 0.880
0.000 0.880 0.380
0.000 0.380 0.120
```

Properties
E = -7.603 eV per atom
E_form = -0.8162 eV per atom
DOS(E_F) = 2.994 states/eV/f.u.

Material: CsRb2NaTl
Method: DFT, PBE
State: relaxed

The structure in POSCAR format:
```
CsRb2NaTl
1.0
7.240 0.000 0.000
0.000 7.240 0.000
0.000 0.000 7.339
Na Rb Tl Cs
1 2 1 1
direct
0.500 0.500 0.500
0.000 0.500 0.000
0.500 0.000 0.000
0.000 0.000 0.000
0.000 0.000 0.500
```

Properties
E = -1.167 eV per atom
E_form = 0.1276 eV per atom
DOS(E_F) = 6.010 states/eV/f.u.
Distance to the lowest polymorph of the same formula = 99 meV per atom

Material: PaTi2Pt
Method: DFT, PBE
State: relaxed

The structure in POSCAR format:
```
PaTi2Pt
1.0
3.092 0.000 0.000
0.000 4.791 0.000
0.000 0.000 4.791
Ti Pa Pt
2 1 1
direct
0.000 0.000 0.500
0.000 0.500 0.000
0.500 0.500 0.500
0.500 0.000 0.000
```

Properties
E = -8.200 eV per atom
E_form = -0.3686 eV per atom
DOS(E_F) = 4.582 states/eV/f.u.
Distance to the lowest polymorph of the same formula = 0 meV per atom